The following is a DFT calculation (GGA+U) of a relaxed TlCoPO crystal.

The structure in POSCAR format:
```
TlCoPO
1.0
3.868 0.000 0.000
0.000 6.174 0.000
0.000 0.000 6.215
Tl Co P O
2 2 2 2
Cartesian
0.000 1.139 0.000
0.000 5.035 3.108
1.934 1.772 2.693
1.934 4.402 5.800
1.934 2.199 4.995
1.934 3.975 1.887
0.000 1.082 2.296
0.000 5.092 5.404
```

## Properties
The total moment is 3.00 μB per formula unit. For the excess energy over the best structure of this formula in the dataset, the calculation gives 0.0000 eV/atom. As for the total energy: -4.561 eV per atom.